[1]
Ce4H2Pb3, relaxed, DFT PBE; N(E_F) = 44.45 states/eV per cell; size of the total moment = 6.01 Bohr magnetons per cell; space group = C2/c, No. 15; raw total energy = -5.029 eV per atom
1.0
6.9825 -4.8956 0.0000
6.9825 4.8956 0.0000
-1.8547 0.0000 6.5897
Ce H Pb
8 4 6
direct
0.1110 0.6636 0.9543
0.2328 0.3722 0.3960
0.3364 0.8890 0.5457
0.3722 0.2328 0.8960
0.6278 0.7672 0.1040
0.6636 0.1110 0.4543
0.7672 0.6278 0.6040
0.8890 0.3364 0.0457
0.1390 0.4080 0.0593
0.4080 0.1390 0.5593
0.5920 0.8610 0.4407
0.8610 0.5920 0.9407
0.0022 0.2380 0.5831
0.2380 0.0022 0.0831
0.4947 0.5053 0.7500
0.5053 0.4947 0.2500
0.7620 0.9978 0.9169
0.9978 0.7620 0.4169

=====

[2]
Ce2H4Pb, relaxed, DFT PBE; N(E_F) = 17.53 states/eV per cell; size of the total moment = 1.51 Bohr magnetons per cell; space group = P4_2/mnm, No. 136; raw total energy = -4.396 eV per atom
1.0
7.8744 0.0000 0.0000
0.0000 7.8744 0.0000
0.0000 0.0000 3.7135
Ce H Pb
4 8 2
direct
0.2280 0.2280 0.0000
0.2720 0.7280 0.5000
0.7280 0.2720 0.5000
0.7720 0.7720 0.0000
0.0864 0.6879 0.0000
0.1879 0.4136 0.5000
0.3121 0.9136 0.0000
0.4136 0.1879 0.5000
0.5864 0.8121 0.5000
0.6879 0.0864 0.0000
0.8121 0.5864 0.5000
0.9136 0.3121 0.0000
0.0000 0.0000 0.5000
0.5000 0.5000 0.0000

=====

[3]
Ce2HPb, relaxed, DFT PBE; N(E_F) = 8.59 states/eV per cell; size of the total moment = 1.56 Bohr magnetons per cell; space group = R-3m, No. 166; raw total energy = -5.010 eV per atom
1.0
1.7431 1.0064 8.5667
-1.7431 1.0064 8.5667
0.0000 -2.0128 8.5667
Ce H Pb
2 1 1
direct
0.2253 0.2253 0.2253
0.7747 0.7747 0.7747
0.5000 0.5000 0.5000
0.0000 0.0000 0.0000